A relaxed Hf4Zr6Sc19 crystal, computed with PBE.

abc: 8.6275 8.8123 10.6942
angles: 110.06 102.32 105.40
With the nearest neighbours (Å) after each atom.
Element x y z (fractional)
Hf  0.0000  0.0000  0.0000  4 Sc 2.80-2.99, 2 Zr 3.04-3.05
Hf  0.1665  0.4875  0.7557  7 Sc 2.85-3.18
Hf  0.4660  0.0014  0.5886  9 Sc 3.07-3.40, 2 Zr 3.12-3.22
Hf  0.6464  0.5081  0.2382  5 Sc 2.96-3.19, 2 Zr 2.97-3.01
Zr  0.3438  0.6887  0.2935  2 Zr 3.01-3.10, 7 Sc 3.07-3.32, 1 Hf 3.12
Zr  0.5710  0.4099  0.4640  5 Sc 2.89-3.22, 1 Hf 2.97
Zr  0.6023  0.0239  0.3354  3 Zr 3.01-3.31, 5 Sc 3.07-3.36, 1 Hf 3.22
Zr  0.6735  0.7004  0.7876  8 Sc 3.02-3.34, 1 Hf 3.04, 1 Zr 3.28
Zr  0.7465  0.1342  0.1185  2 Zr 2.97-3.16, 1 Hf 3.05, 6 Sc 3.11-3.32
Zr  0.9534  0.4832  0.1533  2 Zr 2.97-3.10, 1 Hf 3.01, 7 Sc 3.07-3.32
Sc  0.0665  0.7834  0.4485  7 Sc 3.01-3.24, 2 Zr 3.08-3.31, 1 Hf 3.18
Sc  0.1130  0.7115  0.0070  2 Hf 2.95-2.97, 1 Zr 3.16, 2 Sc 3.19-3.20
Sc  0.1607  0.3044  0.2819  5 Sc 2.98-3.21, 1 Hf 2.98, 3 Zr 3.08-3.28
Sc  0.1910  0.0989  0.7593  6 Sc 2.87-3.19
Sc  0.2008  0.3670  0.0100  3 Sc 2.87-3.21, 2 Zr 3.07, 1 Hf 3.19
Sc  0.2445  0.0185  0.3322  6 Sc 2.98-3.31, 1 Hf 3.07, 2 Zr 3.07-3.16
Sc  0.3347  0.6242  0.5585  4 Sc 2.98-3.23, 3 Zr 3.09-3.22, 2 Hf 3.09-3.18
Sc  0.3805  0.1280  0.1148  2 Hf 2.99-3.13, 4 Sc 3.02-3.27, 2 Zr 3.14-3.25
Sc  0.3899  0.3348  0.6470  2 Hf 2.85-3.07, 2 Zr 2.89-3.09, 3 Sc 3.07-3.12
Sc  0.4165  0.8945  0.8488  5 Sc 2.98-3.30, 2 Zr 3.16-3.18, 2 Hf 3.30-3.32
Sc  0.4821  0.6916  0.0274  4 Sc 2.97-3.20, 1 Hf 3.09, 2 Zr 3.29-3.32
Sc  0.5816  0.3367  0.9305  1 Hf 2.96, 2 Sc 3.12-3.18, 1 Zr 3.17
Sc  0.7079  0.8039  0.5205  2 Hf 3.06-3.10, 5 Sc 3.11-3.38, 4 Zr 3.15-3.36
Sc  0.7907  0.3649  0.7056  4 Sc 2.98-3.34, 2 Hf 2.99-3.27, 2 Zr 3.07-3.27
Sc  0.8141  0.1030  0.8185  2 Hf 2.80-3.13, 2 Sc 2.98-3.11
Sc  0.8516  0.8304  0.1910  4 Sc 2.97-3.26, 2 Hf 3.19-3.20, 2 Zr 3.32
Sc  0.9100  0.4154  0.4296  3 Zr 3.01-3.28, 5 Sc 3.08-3.35, 1 Hf 3.19
Sc  0.9776  0.1304  0.5124  7 Sc 3.02-3.38, 1 Hf 3.03, 1 Zr 3.08
Sc  0.9954  0.7351  0.7129  7 Sc 3.01-3.30, 1 Zr 3.02, 2 Hf 3.04-3.14

## Properties
space group: No. 1
total DFT energy (no corrections): -7.163 eV per atom
calculated formation energy: 127 meV per atom

***

A relaxed KSnTe2N crystal, computed with PBE.

abc: 6.3305 6.3305 3.8469
angles: 90.00 90.00 90.00
With the nearest neighbours (Å) after each atom.
Element x y z (fractional)
K  0.0000  0.0000  0.0000  8 Te 3.70, 2 K 3.85
Sn  0.5000  0.5000  0.5000  2 N 1.92
Te  0.0000  0.5000  0.5000  2 Sn 3.17
Te  0.5000  0.0000  0.5000  2 Sn 3.17
N  0.5000  0.5000  0.0000  2 Sn 1.92

## Properties
space group: No. 123
total DFT energy (no corrections): -3.646 eV per atom

***

A relaxed AlCuTc2 crystal, computed with PBE.

abc: 4.8725 4.8725 4.8725
angles: 142.13 128.42 65.74
With the nearest neighbours (Å) after each atom.
Element x y z (fractional)
Al  0.0000  0.0000  0.0000  2 Cu 2.47, 6 Tc 2.61-2.65
Cu  0.2325  0.7325  0.5000  2 Al 2.47, 6 Tc 2.64-2.65
Tc  0.4908  0.4908  0.0000  4 Tc 2.62-2.92, 4 Cu 2.64-2.90, 4 Al 2.65
Tc  0.7461  0.2461  0.5000  4 Al 2.61-2.92, 4 Tc 2.62-2.92, 4 Cu 2.65

## Properties
space group: No. 44
total DFT energy (no corrections): -7.227 eV per atom
calculated formation energy: -84 meV per atom

***

A relaxed Cs2PrPuS4 crystal, computed with PBE.

abc: 7.3452 4.2329 8.4294
angles: 90.00 106.87 90.00
With the nearest neighbours (Å) after each atom.
Element x y z (fractional)
Cs  0.0000  0.0000  0.0000  6 S 3.55-3.57
Cs  0.5000  0.5000  0.0000  6 S 3.50-3.51
Pr  0.0000  0.5000  0.5000  6 S 2.89-2.90
Pu  0.5000  0.0000  0.5000  6 S 2.82-2.84
S  0.2343  0.0000  0.6867  1 Pu 2.84, 2 Pr 2.89
S  0.2806  0.5000  0.3192  2 Pu 2.82, 1 Pr 2.90
S  0.7194  0.5000  0.6808  2 Pu 2.82, 1 Pr 2.90
S  0.7657  0.0000  0.3133  1 Pu 2.84, 2 Pr 2.89

## Properties
space group: No. 10
total DFT energy (no corrections): -6.324 eV per atom

***

A relaxed Cs2U2ZnSe6 crystal, computed with PBE.

abc: 7.3668 7.3668 8.9260
angles: 96.99 96.99 123.50
With the nearest neighbours (Å) after each atom.
Element x y z (fractional)
Cs  0.1551  0.8449  0.0000  6 Se 3.60-3.69, 1 Cs 4.03
Cs  0.8449  0.1551  0.0000  6 Se 3.60-3.69, 1 Cs 4.03
U  0.3332  0.6668  0.5000  6 Se 2.79-2.93
U  0.6668  0.3332  0.5000  6 Se 2.79-2.93
Zn  0.0000  0.0000  0.5000  2 Se 2.46
Se  0.0567  0.4171  0.6881  2 U 2.79-2.84, 1 Zn 3.10
Se  0.2430  0.2430  0.3424  1 Zn 2.46
Se  0.4171  0.0567  0.6881  2 U 2.79-2.84, 1 Zn 3.10
Se  0.5829  0.9433  0.3119  2 U 2.79-2.84, 1 Zn 3.10
Se  0.7570  0.7570  0.6576  1 Zn 2.46
Se  0.9433  0.5829  0.3119  2 U 2.79-2.84, 1 Zn 3.10

## Properties
space group: No. 12
total DFT energy (no corrections): -5.296 eV per atom

***

A relaxed K2AgIr crystal, computed with PBE.

abc: 5.8339 5.8339 5.8339
angles: 132.30 122.32 78.01
With the nearest neighbours (Å) after each atom.
Element x y z (fractional)
K  0.0000  0.0000  0.0000  4 K 3.36-3.59, 4 Ag 3.40-3.52, 1 Ir 3.61
K  0.7015  0.2015  0.5000  4 Ir 3.33-3.62, 4 K 3.36-3.59
Ag  0.2887  0.7887  0.5000  2 Ir 2.56
Ir  0.3986  0.3986  0.0000  2 Ag 2.56

## Properties
space group: No. 44
total DFT energy (no corrections): -2.843 eV per atom
calculated formation energy: 634 meV per atom

***

A relaxed TaPIr crystal, computed with PBE.

abc: 2.8750 2.8750 6.3304
angles: 90.00 90.00 120.00
With the nearest neighbours (Å) after each atom.
Element x y z (fractional)
Ta  0.0000  0.0000  0.0000  3 P 2.69, 3 Ir 2.82, 6 Ta 2.87
P  0.6667  0.3333  0.6648  3 Ir 2.55, 3 Ta 2.69
Ir  0.3333  0.6667  0.3595  3 P 2.55, 3 Ta 2.82

## Properties
space group: No. 156
total DFT energy (no corrections): -8.844 eV per atom
calculated formation energy: -136 meV per atom

***

A relaxed TiInSnCl6 crystal, computed with PBE.

abc: 7.0027 7.0027 6.6815
angles: 90.00 90.00 120.00
With the nearest neighbours (Å) after each atom.
Element x y z (fractional)
Ti  0.0000  0.0000  0.0000  6 Cl 2.45
In  0.3333  0.6667  0.5000  6 Cl 3.22
Sn  0.6667  0.3333  0.0000  6 Cl 2.84
Cl  0.2911  0.0133  0.2126  1 Ti 2.45
Cl  0.2911  0.2778  0.7874  1 Ti 2.45
Cl  0.7222  0.0133  0.7874  1 Ti 2.45
Cl  0.7222  0.7089  0.2126  1 Ti 2.45
Cl  0.9867  0.2778  0.2126  1 Ti 2.45
Cl  0.9867  0.7089  0.7874  1 Ti 2.45

## Properties
space group: No. 149
total DFT energy (no corrections): -4.073 eV per atom

***

A relaxed Li2La2Au crystal, computed with PBE.

abc: 6.8442 6.8442 5.1673
angles: 90.00 90.00 90.00
With the nearest neighbours (Å) after each atom.
Element x y z (fractional)
Li  0.1391  0.3609  0.0000  2 Au 2.65, 1 Li 2.69
Li  0.3609  0.8609  0.0000  2 Au 2.65, 1 Li 2.69
Li  0.6391  0.1391  0.0000  2 Au 2.65, 1 Li 2.69
Li  0.8609  0.6391  0.0000  2 Au 2.65, 1 Li 2.69
La  0.1786  0.6786  0.5000  6 Li 3.13-3.39, 1 La 3.46
La  0.3214  0.1786  0.5000  6 Li 3.13-3.39, 1 La 3.46
La  0.6786  0.8214  0.5000  6 Li 3.13-3.39, 1 La 3.46
La  0.8214  0.3214  0.5000  6 Li 3.13-3.39, 1 La 3.46
Au  0.0000  0.0000  0.0000  4 Li 2.65
Au  0.5000  0.5000  0.0000  4 Li 2.65

## Properties
space group: No. 127
total DFT energy (no corrections): -3.594 eV per atom
calculated formation energy: -202 meV per atom

***

A relaxed CdIn4Hg7 crystal, computed with PBE.

abc: 4.1456 4.1456 19.1194
angles: 92.09 92.09 78.66
With the nearest neighbours (Å) after each atom.
Element x y z (fractional)
Cd  0.0000  0.0000  0.0000  6 Hg 3.01-3.10, 2 In 3.35
In  0.0851  0.0851  0.4156  7 Hg 3.05-3.41
In  0.1629  0.1629  0.8362  6 Hg 3.04-3.15, 1 Cd 3.35
In  0.8371  0.8371  0.1638  6 Hg 3.04-3.15, 1 Cd 3.35
In  0.9149  0.9149  0.5844  7 Hg 3.05-3.41
Hg  0.2496  0.2496  0.2486  3 In 3.04-3.15, 3 Hg 3.06-3.12
Hg  0.3303  0.3303  0.6686  3 In 3.05-3.14, 3 Hg 3.06-3.12
Hg  0.4157  0.4157  0.0796  3 Cd 3.01-3.10, 3 In 3.08-3.13, 1 Hg 3.28
Hg  0.5000  0.5000  0.5000  6 In 3.05-3.14
Hg  0.5843  0.5843  0.9204  3 Cd 3.01-3.10, 3 In 3.08-3.13, 1 Hg 3.28
Hg  0.6697  0.6697  0.3314  3 In 3.05-3.14, 3 Hg 3.06-3.12
Hg  0.7504  0.7504  0.7514  3 In 3.04-3.15, 3 Hg 3.06-3.12

## Properties
space group: No. 12
total DFT energy (no corrections): -1.158 eV per atom
calculated formation energy: 7 meV per atom

***

A relaxed Pm3SbO2 crystal, computed with PBE.

abc: 6.1864 4.1506 12.1183
angles: 90.00 90.69 90.00
With the nearest neighbours (Å) after each atom.
Element x y z (fractional)
Pm  0.1891  0.2500  0.4254  3 O 2.33-2.35
Pm  0.2014  0.2500  0.7488  2 O 2.26-2.38
Pm  0.2332  0.7500  0.0108  3 O 2.28-2.41
Pm  0.7668  0.2500  0.9892  3 O 2.28-2.41
Pm  0.7986  0.7500  0.2512  2 O 2.26-2.38
Pm  0.8109  0.7500  0.5746  3 O 2.33-2.35
Sb  0.4251  0.2500  0.1935  6 Pm 3.18-3.27
Sb  0.5749  0.7500  0.8065  6 Pm 3.18-3.27
O  0.0187  0.7500  0.4135  4 Pm 2.33-2.38
O  0.1154  0.2500  0.9297  4 Pm 2.26-2.41
O  0.8846  0.7500  0.0703  4 Pm 2.26-2.41
O  0.9813  0.2500  0.5865  4 Pm 2.33-2.38

## Properties
space group: No. 11
total DFT energy (no corrections): -6.876 eV per atom

***

A relaxed KYPt3 crystal, computed with PBE.

abc: 4.9749 4.9749 4.9749
angles: 90.00 90.00 90.00
With the nearest neighbours (Å) after each atom.
Element x y z (fractional)
K  0.0000  0.0000  0.0000  6 Pt 2.49
Y  0.5000  0.5000  0.5000  12 Pt 3.52
Pt  0.0000  0.0000  0.5000  2 K 2.49
Pt  0.0000  0.5000  0.0000  2 K 2.49
Pt  0.5000  0.0000  0.0000  2 K 2.49

## Properties
space group: No. 221
total DFT energy (no corrections): -3.993 eV per atom
calculated formation energy: 1144 meV per atom

***

A relaxed MnFe3Cl crystal, computed with PBE.

abc: 4.3399 4.3399 4.3399
angles: 90.00 90.00 90.00
With the nearest neighbours (Å) after each atom.
Element x y z (fractional)
Mn  0.0000  0.0000  0.0000  6 Fe 2.17
Fe  0.0000  0.0000  0.5000  2 Mn 2.17
Fe  0.0000  0.5000  0.0000  2 Mn 2.17
Fe  0.5000  0.0000  0.0000  2 Mn 2.17
Cl  0.5000  0.5000  0.5000  12 Fe 3.07

## Properties
space group: No. 221
total DFT energy (no corrections): -6.033 eV per atom